1.
This record from the Alexandria database describes a relaxed NaCrBr2N crystal. The functional is GGA-PBEsol.

Results
As for the calculated total energy: -4.0231 eV/atom. The symmetry is P4/mmm (123). As for the formation energy without anion corrections: 759 meV/atom. As for the total magnetization: 6.8 μB/cell.

Lattice parameters (Å, degrees): 4.8975 4.8975 6.5202 90.00 90.00 90.00
Element x y z (fractional)
Cr 0.0000 0.0000 0.0000
N 0.5000 0.5000 0.5000
Br 0.0000 0.5000 0.0000
Br 0.5000 0.0000 0.0000
Na 0.0000 0.0000 0.5000

***

2.
This record from the Alexandria database describes a relaxed Si2NiIr crystal. The functional is GGA-PBEsol.

Results
As for the calculated total energy: -7.4584 eV/atom. The symmetry is Pmm2 (25). As for the formation energy without anion corrections: -590 meV/atom. As for the total magnetization: 0.0 μB/cell.

Lattice parameters (Å, degrees): 2.8946 3.4811 4.9312 90.00 90.00 90.00
Element x y z (fractional)
Ni 0.5000 0.5000 0.8062
Si 0.0000 0.0000 0.9594
Si 0.5000 0.5000 0.2726
Ir 0.0000 0.0000 0.4618